Entry from Alexandria via LeMat-Bulk: a relaxed structure of Sb2RuCl (PBE).

It has space group Fm-3m (No. 225), with a = 6.850 Å, b = 6.850 Å, c = 6.850 Å, α = 90.00°, β = 90.00° and γ = 90.00°. The distinct sites, in fractional coordinates, are Sb at (0.250, 0.250, 0.250), Ru at (0.000, 0.000, 0.000) and Cl at (0.000, 0.000, 0.500).

The calculation puts the total energy at -71.64 eV/cell. As for the size of the total moment: 1.60 μB per cell. As for the formation energy without anion corrections: 0.364 eV per atom. The value obtained for the relative energy among the computed polymorphs is 544 meV per atom.